[1]
VASP calculation (PBE) on a relaxed Y4MgCu2 crystal.

a b c (Å): 8.4307 8.4307 8.4307
angles (deg): 34.76 34.76 34.76
Element x y z (fractional)
1 Y 0.1132 0.1132 0.1132
2 Y 0.3657 0.3657 0.3657
3 Y 0.6343 0.6343 0.6343
4 Y 0.8868 0.8868 0.8868
5 Mg 0.5000 0.5000 0.5000
6 Cu 0.2421 0.2421 0.2421
7 Cu 0.7579 0.7579 0.7579

## Properties
The density of states at the Fermi level is 0.90 states/eV per atom. Its calculated formation energy is -0.05 eV/atom. The calculation puts the energy above the lowest structure with this stoichiometry at 0 meV per atom.


[2]
VASP calculation (PBE) on a relaxed Y2Mg2Cu crystal.

a b c (Å): 6.4225 3.3746 12.0945
angles (deg): 90.00 105.25 90.00
Element x y z (fractional)
1 Y 0.0555 0.2500 0.3733
2 Y 0.2238 0.7500 0.9264
3 Y 0.7762 0.2500 0.0736
4 Y 0.9445 0.7500 0.6267
5 Mg 0.3323 0.2500 0.1706
6 Mg 0.4068 0.7500 0.5834
7 Mg 0.5932 0.2500 0.4166
8 Mg 0.6677 0.7500 0.8294
9 Cu 0.3113 0.2500 0.7462
10 Cu 0.6887 0.7500 0.2538

## Properties
The density of states at the Fermi level is 0.94 states/eV per atom. Its calculated formation energy is 0.02 eV/atom. The calculation puts the energy above the lowest structure with this stoichiometry at 129 meV per atom.


[3]
VASP calculation (PBE) on a relaxed Y2Mg2Cu crystal.

a b c (Å): 4.9716 4.9716 6.4238
angles (deg): 90.00 90.00 119.31
Element x y z (fractional)
1 Y 0.0000 0.0000 0.2459
2 Y 0.0000 0.0000 0.7541
3 Mg 0.3355 0.6645 0.5000
4 Mg 0.6645 0.3355 0.5000
5 Cu 0.5000 0.5000 0.0000

## Properties
The density of states at the Fermi level is 0.63 states/eV per atom. Its calculated formation energy is 0.26 eV/atom. The calculation puts the energy above the lowest structure with this stoichiometry at 367 meV per atom.


[4]
VASP calculation (PBE) on a relaxed Y3MgCu crystal.

a b c (Å): 5.3624 5.3624 5.3624
angles (deg): 90.00 90.00 90.00
Element x y z (fractional)
1 Y 0.0000 0.0000 0.5000
2 Y 0.0000 0.5000 0.0000
3 Y 0.5000 0.0000 0.0000
4 Mg 0.5000 0.5000 0.5000
5 Cu 0.0000 0.0000 0.0000

## Properties
The density of states at the Fermi level is 1.26 states/eV per atom. Its calculated formation energy is 0.14 eV/atom. The calculation puts the energy above the lowest structure with this stoichiometry at 103 meV per atom.


[5]
VASP calculation (PBE) on a relaxed Y3MgCu crystal.

a b c (Å): 8.4017 8.4017 4.6367
angles (deg): 90.00 90.00 120.00
Element x y z (fractional)
1 Y 0.2001 0.4001 0.2500
2 Y 0.2001 0.7999 0.2500
3 Y 0.4001 0.2001 0.7500
4 Y 0.5999 0.7999 0.2500
5 Y 0.7999 0.2001 0.7500
6 Y 0.7999 0.5999 0.7500
7 Mg 0.0000 0.0000 0.0000
8 Mg 0.0000 0.0000 0.5000
9 Cu 0.3333 0.6667 0.7500
10 Cu 0.6667 0.3333 0.2500

## Properties
The density of states at the Fermi level is 1.04 states/eV per atom. Its calculated formation energy is 0.29 eV/atom. The calculation puts the energy above the lowest structure with this stoichiometry at 253 meV per atom.


[6]
VASP calculation (PBE) on a relaxed Y4MgCu crystal.

a b c (Å): 9.7780 9.7780 9.7780
angles (deg): 60.00 60.00 60.00
Element x y z (fractional)
1 Y 0.1841 0.1841 0.8159
2 Y 0.1841 0.8159 0.1841
3 Y 0.1841 0.8159 0.8159
4 Y 0.4001 0.4001 0.4001
5 Y 0.4001 0.4001 0.7997
6 Y 0.4001 0.7997 0.4001
7 Y 0.5619 0.5619 0.9381
8 Y 0.5619 0.9381 0.5619
9 Y 0.5619 0.9381 0.9381
10 Y 0.7997 0.4001 0.4001
11 Y 0.8159 0.1841 0.1841
12 Y 0.8159 0.1841 0.8159
13 Y 0.8159 0.8159 0.1841
14 Y 0.9381 0.5619 0.5619
15 Y 0.9381 0.5619 0.9381
16 Y 0.9381 0.9381 0.5619
17 Mg 0.1703 0.1703 0.1703
18 Mg 0.1703 0.1703 0.4891
19 Mg 0.1703 0.4891 0.1703
20 Mg 0.4891 0.1703 0.1703
21 Cu 0.1798 0.6067 0.6067
22 Cu 0.6067 0.1798 0.6067
23 Cu 0.6067 0.6067 0.1798
24 Cu 0.6067 0.6067 0.6067

## Properties
The density of states at the Fermi level is 1.49 states/eV per atom. Its calculated formation energy is -0.12 eV/atom. The calculation puts the energy above the lowest structure with this stoichiometry at 0 meV per atom.


[7]
VASP calculation (PBE) on a relaxed YMg2Cu9 crystal.

a b c (Å): 8.4884 8.4884 8.4884
angles (deg): 34.74 34.74 34.74
Element x y z (fractional)
1 Y 0.0000 0.0000 0.0000
2 Mg 0.1447 0.1447 0.1447
3 Mg 0.8553 0.8553 0.8553
4 Cu 0.0813 0.5864 0.5864
5 Cu 0.3334 0.3334 0.3334
6 Cu 0.4136 0.4136 0.9187
7 Cu 0.4136 0.9187 0.4136
8 Cu 0.5000 0.5000 0.5000
9 Cu 0.5864 0.0813 0.5864
10 Cu 0.5864 0.5864 0.0813
11 Cu 0.6666 0.6666 0.6666
12 Cu 0.9187 0.4136 0.4136

## Properties
The density of states at the Fermi level is 0.48 states/eV per atom. Its calculated formation energy is -0.17 eV/atom. The calculation puts the energy above the lowest structure with this stoichiometry at 9 meV per atom.


[8]
VASP calculation (PBE) on a relaxed Y2MgCu crystal.

a b c (Å): 6.4064 6.4064 8.9337
angles (deg): 90.00 90.00 147.42
Element x y z (fractional)
1 Y 0.1339 0.8661 0.5570
2 Y 0.1339 0.8661 0.9430
3 Y 0.8661 0.1339 0.0570
4 Y 0.8661 0.1339 0.4430
5 Mg 0.4347 0.5653 0.7500
6 Mg 0.5653 0.4347 0.2500
7 Cu 0.2398 0.7602 0.2500
8 Cu 0.7602 0.2398 0.7500

## Properties
The density of states at the Fermi level is 0.83 states/eV per atom. Its calculated formation energy is -0.12 eV/atom.


[9]
VASP calculation (PBE) on a relaxed Y2MgCu crystal.

a b c (Å): 6.3957 6.3957 9.5806
angles (deg): 90.00 90.00 149.92
Element x y z (fractional)
1 Y 0.1215 0.8785 0.5707
2 Y 0.1215 0.8785 0.9293
3 Y 0.8785 0.1215 0.0707
4 Y 0.8785 0.1215 0.4293
5 Mg 0.1854 0.8146 0.2500
6 Mg 0.8146 0.1854 0.7500
7 Cu 0.4851 0.5149 0.7500
8 Cu 0.5149 0.4851 0.2500

## Properties
The density of states at the Fermi level is 0.76 states/eV per atom. Its calculated formation energy is 0.01 eV/atom.


[10]
VASP calculation (PBE) on a relaxed YMg3Cu crystal.

a b c (Å): 6.7682 6.7682 5.9343
angles (deg): 90.00 90.00 97.99
Element x y z (fractional)
1 Y 0.0000 0.0000 0.0000
2 Y 0.0000 0.0000 0.5000
3 Mg 0.2360 0.3963 0.2500
4 Mg 0.2952 0.7048 0.7500
5 Mg 0.3963 0.2360 0.7500
6 Mg 0.6037 0.7640 0.2500
7 Mg 0.7048 0.2952 0.2500
8 Mg 0.7640 0.6037 0.7500
9 Cu 0.2296 0.7704 0.2500
10 Cu 0.7704 0.2296 0.7500

## Properties
The density of states at the Fermi level is 0.64 states/eV per atom. Its calculated formation energy is 0.30 eV/atom. The calculation puts the energy above the lowest structure with this stoichiometry at 430 meV per atom.


[11]
VASP calculation (PBE) on a relaxed Y2MgCu crystal.

a b c (Å): 9.5508 9.5508 9.5508
angles (deg): 21.63 21.63 21.63
Element x y z (fractional)
1 Y 0.0000 0.0000 0.0000
2 Y 0.2276 0.2276 0.2276
3 Mg 0.4640 0.4640 0.4640
4 Cu 0.7374 0.7374 0.7374

## Properties
The density of states at the Fermi level is 1.12 states/eV per atom. Its calculated formation energy is 0.06 eV/atom.


[12]
VASP calculation (PBE) on a relaxed Y4MgCu crystal.

a b c (Å): 9.9748 3.6167 9.1097
angles (deg): 90.00 90.00 90.00
Element x y z (fractional)
1 Y 0.0000 0.0000 0.0000
2 Y 0.0594 0.5000 0.3223
3 Y 0.2500 0.5000 0.8702
4 Y 0.4406 0.5000 0.3223
5 Y 0.5000 0.0000 0.0000
6 Y 0.5594 0.5000 0.6777
7 Y 0.7500 0.5000 0.1298
8 Y 0.9406 0.5000 0.6777
9 Mg 0.2500 0.0000 0.5621
10 Mg 0.7500 0.0000 0.4379
11 Cu 0.2500 0.0000 0.1702
12 Cu 0.7500 0.0000 0.8298

## Properties
The density of states at the Fermi level is 1.13 states/eV per atom. Its calculated formation energy is -0.03 eV/atom. The calculation puts the energy above the lowest structure with this stoichiometry at 88 meV per atom.


Number 1: calculated total energy -5.141 eV/atom. Number 2: calculated total energy -4.026 eV/atom. Number 3: calculated total energy -3.787 eV/atom. Number 4: calculated total energy -4.880 eV/atom. Number 5: calculated total energy -4.731 eV/atom. Number 6: calculated total energy -5.376 eV/atom. Number 7: calculated total energy -4.043 eV/atom. Number 8: calculated total energy -4.770 eV/atom. Number 9: calculated total energy -4.643 eV/atom. Number 10: calculated total energy -2.772 eV/atom. Number 11: calculated total energy -4.593 eV/atom. Number 12: calculated total energy -5.288 eV/atom.